1.
! Ti6MoW2, optimized geometry, DFT GGA-PBE; values from VASP
&SYSTEM
  ibrav = 0, nat = 9, ntyp = 3
/
ATOMIC_SPECIES
Ti 47.87 Ti.upf
Mo 95.94 Mo.upf
W 183.84 W.upf
CELL_PARAMETERS angstrom
6.8198 -3.9792 0.0000
6.8198 3.9792 0.0000
-0.2505 0.0000 2.7300
ATOMIC_POSITIONS crystal
Ti 0.1602 0.5008 0.2065
Ti 0.1715 0.8285 0.0000
Ti 0.4992 0.8398 0.7935
Ti 0.5008 0.1602 0.2065
Ti 0.8285 0.1715 0.0000
Ti 0.8398 0.4992 0.7935
Mo 0.5000 0.5000 0.5000
W 0.1659 0.1659 0.4964
W 0.8341 0.8341 0.5036
! space-group type: No. 12
! D(E_F): 1.562 states/eV/atom
! DFT formation energy: 0.079 eV per atom



2.
! PmDyY, optimized geometry, DFT GGA-PBE; values from VASP
&SYSTEM
  ibrav = 0, nat = 3, ntyp = 3
/
ATOMIC_SPECIES
Pm 145.00 Pm.upf
Dy 162.50 Dy.upf
Y 88.91 Y.upf
CELL_PARAMETERS angstrom
-1.7939 1.7939 7.6200
1.7939 -1.7939 7.6200
1.7939 1.7939 -7.6200
ATOMIC_POSITIONS crystal
Pm 0.0000 0.0000 0.0000
Dy 0.3337 0.3337 0.0000
Y 0.6687 0.6687 0.0000
! energy above the lowest structure with this stoichiometry: 0.00 eV/f.u.
! space-group type: No. 107
! D(E_F): 1.397 states/eV/atom
! DFT formation energy: 0.020 eV per atom



3.
! LiBeTl2Si, optimized geometry, DFT GGA-PBE; values from VASP
&SYSTEM
  ibrav = 0, nat = 5, ntyp = 4
/
ATOMIC_SPECIES
Li 6.94 Li.upf
Be 9.01 Be.upf
Tl 204.38 Tl.upf
Si 28.09 Si.upf
CELL_PARAMETERS angstrom
5.2669 0.0000 0.0000
0.0000 5.2669 0.0000
0.0000 0.0000 4.1933
ATOMIC_POSITIONS crystal
Li 0.0000 0.0000 0.0000
Be 0.5000 0.5000 0.5000
Tl 0.0000 0.5000 0.5000
Tl 0.5000 0.0000 0.5000
Si 0.5000 0.5000 0.0000
! energy: -2.8277 eV per atom
! space-group type: No. 123
! D(E_F): 0.321 states/eV/atom



4.
! TbGaPt4, optimized geometry, DFT GGA-PBE; values from VASP
&SYSTEM
  ibrav = 0, nat = 12, ntyp = 3
/
ATOMIC_SPECIES
Tb 158.93 Tb.upf
Ga 69.72 Ga.upf
Pt 195.08 Pt.upf
CELL_PARAMETERS angstrom
1.9551 -7.9782 0.0000
1.9551 7.9782 0.0000
0.0000 0.0000 6.7848
ATOMIC_POSITIONS crystal
Tb 0.1007 0.8993 0.7500
Tb 0.8993 0.1007 0.2500
Ga 0.2367 0.7633 0.2500
Ga 0.7633 0.2367 0.7500
Pt 0.0761 0.9239 0.2500
Pt 0.3250 0.6750 0.5444
Pt 0.3250 0.6750 0.9556
Pt 0.5000 0.5000 0.0000
Pt 0.5000 0.5000 0.5000
Pt 0.6750 0.3250 0.0444
Pt 0.6750 0.3250 0.4556
Pt 0.9239 0.0761 0.7500
! energy above the lowest structure with this stoichiometry: 0.00 eV/f.u.
! space-group type: No. 63
! D(E_F): 0.487 states/eV/atom
! DFT formation energy: -0.846 eV per atom



5.
! Ti3PBr, optimized geometry, DFT GGA-PBE; values from VASP
&SYSTEM
  ibrav = 0, nat = 5, ntyp = 3
/
ATOMIC_SPECIES
Ti 47.87 Ti.upf
P 30.97 P.upf
Br 79.90 Br.upf
CELL_PARAMETERS angstrom
4.6803 0.0000 0.0000
0.0000 4.6803 0.0000
0.0000 0.0000 4.6803
ATOMIC_POSITIONS crystal
Ti 0.0000 0.0000 0.5000
Ti 0.0000 0.5000 0.0000
Ti 0.5000 0.0000 0.0000
P 0.0000 0.0000 0.0000
Br 0.5000 0.5000 0.5000
! energy above the lowest structure with this stoichiometry: 0.00 eV/f.u.
! space-group type: No. 221
! D(E_F): 1.441 states/eV/atom



6.
! BaCd2Sb, optimized geometry, DFT GGA-PBE; values from VASP
&SYSTEM
  ibrav = 0, nat = 4, ntyp = 3
/
ATOMIC_SPECIES
Ba 137.33 Ba.upf
Cd 112.41 Cd.upf
Sb 121.76 Sb.upf
CELL_PARAMETERS angstrom
-2.5090 2.5090 4.9499
2.5090 -2.5090 4.9499
2.5090 2.5090 -4.9499
ATOMIC_POSITIONS crystal
Ba 0.0000 0.0000 0.0000
Cd 0.2500 0.7500 0.5000
Cd 0.7500 0.2500 0.5000
Sb 0.5000 0.5000 0.0000
! energy: -2.3219 eV per atom
! space-group type: No. 139
! D(E_F): 0.274 states/eV/atom



7.
! NaTbTlCl5, optimized geometry, DFT GGA-PBE; values from VASP
&SYSTEM
  ibrav = 0, nat = 16, ntyp = 4
/
ATOMIC_SPECIES
Na 22.99 Na.upf
Tb 158.93 Tb.upf
Tl 204.38 Tl.upf
Cl 35.45 Cl.upf
CELL_PARAMETERS angstrom
4.3331 -6.5158 0.0000
4.3331 6.5158 0.0000
-3.4989 0.0000 9.4603
ATOMIC_POSITIONS crystal
Na 0.1873 0.8127 0.7500
Na 0.8127 0.1873 0.2500
Tb 0.5000 0.5000 0.0000
Tb 0.5000 0.5000 0.5000
Tl 0.1399 0.8601 0.2500
Tl 0.8601 0.1399 0.7500
Cl 0.1332 0.2430 0.4432
Cl 0.2045 0.5716 0.8995
Cl 0.2430 0.1332 0.9432
Cl 0.4253 0.5747 0.2500
Cl 0.4284 0.7955 0.6005
Cl 0.5716 0.2045 0.3995
Cl 0.5747 0.4253 0.7500
Cl 0.7570 0.8668 0.0568
Cl 0.7955 0.4284 0.1005
Cl 0.8668 0.7570 0.5568
! energy: -4.0392 eV per atom
! space-group type: No. 15
! D(E_F): 0.000 states/eV/atom



8.
! Mn2FeSb, optimized geometry, DFT GGA-PBE; values from VASP
&SYSTEM
  ibrav = 0, nat = 4, ntyp = 3
/
ATOMIC_SPECIES
Mn 54.94 Mn.upf
Fe 55.84 Fe.upf
Sb 121.76 Sb.upf
CELL_PARAMETERS angstrom
0.0000 3.0582 3.0582
3.0582 0.0000 3.0582
3.0582 3.0582 0.0000
ATOMIC_POSITIONS crystal
Mn 0.2500 0.2500 0.2500
Mn 0.7500 0.7500 0.7500
Fe 0.0000 0.0000 0.0000
Sb 0.5000 0.5000 0.5000
! energy: -7.5603 eV per atom
! space-group type: No. 225
! D(E_F): 1.325 states/eV/atom



9.
! Fe2H2Rh, optimized geometry, DFT GGA-PBE; values from VASP
&SYSTEM
  ibrav = 0, nat = 10, ntyp = 3
/
ATOMIC_SPECIES
Fe 55.84 Fe.upf
H 1.01 H.upf
Rh 102.91 Rh.upf
CELL_PARAMETERS angstrom
4.2685 -1.9237 0.0000
4.2685 1.9237 0.0000
-1.7398 0.0000 5.1330
ATOMIC_POSITIONS crystal
Fe 0.9998 0.9998 0.2496
Fe 0.0002 0.0002 0.7504
Fe 0.3351 0.3351 0.9139
Fe 0.6649 0.6649 0.0861
H 0.1655 0.1655 0.0783
H 0.4979 0.4979 0.2444
H 0.5021 0.5021 0.7556
H 0.8345 0.8345 0.9217
Rh 0.3316 0.3316 0.4107
Rh 0.6684 0.6684 0.5893
! energy above the lowest structure with this stoichiometry: 0.02 eV/f.u.
! space-group type: No. 12
! D(E_F): 0.686 states/eV/atom



10.
! LaMg6Ga, optimized geometry, DFT GGA-PBE; values from VASP
&SYSTEM
  ibrav = 0, nat = 8, ntyp = 3
/
ATOMIC_SPECIES
La 138.91 La.upf
Mg 24.30 Mg.upf
Ga 69.72 Ga.upf
CELL_PARAMETERS angstrom
4.7597 0.0000 0.0000
0.0000 3.1063 6.6773
0.0000 -3.1063 6.6773
ATOMIC_POSITIONS crystal
La 0.0000 0.0000 0.0000
Mg 0.0000 0.4273 0.4273
Mg 0.0000 0.4785 0.9666
Mg 0.0000 0.9666 0.4785
Mg 0.5000 0.0990 0.6107
Mg 0.5000 0.5846 0.5846
Mg 0.5000 0.6107 0.0990
Ga 0.5000 0.1595 0.1595
! energy above the lowest structure with this stoichiometry: 0.05 eV/f.u.
! space-group type: No. 38
! D(E_F): 0.413 states/eV/atom
! DFT formation energy: -0.071 eV per atom



11.
! ReN, optimized geometry, DFT GGA-PBE; values from VASP
&SYSTEM
  ibrav = 0, nat = 2, ntyp = 2
/
ATOMIC_SPECIES
Re 186.21 Re.upf
N 14.01 N.upf
CELL_PARAMETERS angstrom
2.7140 0.0000 0.0000
0.0000 2.7140 0.0000
0.0000 0.0000 2.7140
ATOMIC_POSITIONS crystal
Re 0.0000 0.0000 0.0000
N 0.5000 0.5000 0.5000
! energy above the lowest structure with this stoichiometry: 2.26 eV/f.u.
! space-group type: No. 221
! D(E_F): 0.500 states/eV/atom



12.
! Pm2Pr7Nd3, optimized geometry, DFT GGA-PBE; values from VASP
&SYSTEM
  ibrav = 0, nat = 12, ntyp = 3
/
ATOMIC_SPECIES
Pm 145.00 Pm.upf
Pr 140.91 Pr.upf
Nd 144.24 Nd.upf
CELL_PARAMETERS angstrom
6.2511 0.0000 0.0000
0.0000 5.7135 0.0000
-0.4159 0.0000 12.7047
ATOMIC_POSITIONS crystal
Pm 0.1188 0.0000 0.2822
Pm 0.8812 0.0000 0.7178
Pr 0.0534 0.5000 0.8171
Pr 0.2588 0.0000 0.5525
Pr 0.4151 0.0000 0.8319
Pr 0.5000 0.5000 0.0000
Pr 0.5849 0.0000 0.1681
Pr 0.7412 0.0000 0.4475
Pr 0.9466 0.5000 0.1829
Nd 0.0000 0.0000 0.0000
Nd 0.4288 0.5000 0.3430
Nd 0.5712 0.5000 0.6570
! energy above the lowest structure with this stoichiometry: 2.20 eV/f.u.
! space-group type: No. 10
! D(E_F): 1.491 states/eV/atom
! DFT formation energy: 0.266 eV per atom



13.
! Y3Ho3Sc5, optimized geometry, DFT GGA-PBE; values from VASP
&SYSTEM
  ibrav = 0, nat = 11, ntyp = 3
/
ATOMIC_SPECIES
Y 88.91 Y.upf
Ho 164.93 Ho.upf
Sc 44.96 Sc.upf
CELL_PARAMETERS angstrom
8.9681 0.0000 0.0000
-4.4840 7.7666 0.0000
0.0000 0.0000 5.4584
ATOMIC_POSITIONS crystal
Y 0.0000 0.3877 0.0000
Y 0.3877 0.0000 0.0000
Y 0.6123 0.6123 0.0000
Ho 0.0000 0.6180 0.5000
Ho 0.3820 0.3820 0.5000
Ho 0.6180 0.0000 0.5000
Sc 0.0000 0.2430 0.5000
Sc 0.2430 0.0000 0.5000
Sc 0.3333 0.6667 0.5000
Sc 0.6667 0.3333 0.5000
Sc 0.7570 0.7570 0.5000
! space-group type: No. 189
! D(E_F): 1.579 states/eV/atom
! DFT formation energy: 0.814 eV per atom



14.
! H5Pt2, optimized geometry, DFT GGA-PBE; values from VASP
&SYSTEM
  ibrav = 0, nat = 14, ntyp = 2
/
ATOMIC_SPECIES
H 1.01 H.upf
Pt 195.08 Pt.upf
CELL_PARAMETERS angstrom
5.1075 -2.2064 0.0000
5.1075 2.2064 0.0000
-0.7839 0.0000 5.1464
ATOMIC_POSITIONS crystal
H 0.0678 0.9322 0.7500
H 0.1287 0.2507 0.6230
H 0.2507 0.1287 0.1230
H 0.3381 0.4701 0.0026
H 0.4701 0.3381 0.5026
H 0.5299 0.6619 0.4974
H 0.6619 0.5299 0.9974
H 0.7493 0.8713 0.8770
H 0.8713 0.7493 0.3770
H 0.9322 0.0678 0.2500
Pt 0.1360 0.5754 0.6957
Pt 0.4246 0.8640 0.8043
Pt 0.5754 0.1360 0.1957
Pt 0.8640 0.4246 0.3043
! energy: -4.0667 eV per atom
! space-group type: No. 15
! D(E_F): 0.109 states/eV/atom